Entry 1:
# TiReC2, optimized geometry, DFT PBE
# - space group = No. 225
# - excess energy over the best structure of this formula in the dataset (eV/atom) = 0.2347
data_TiReC2
_chemical_formula_sum 'Ti4 Re4 C8'
_symmetry_space_group_name_H-M 'P 1'
_symmetry_Int_Tables_number 1
_cell_length_a 5.372
_cell_length_b 5.372
_cell_length_c 5.372
_cell_angle_alpha 90.00
_cell_angle_beta 90.00
_cell_angle_gamma 90.00
loop_
_symmetry_equiv_pos_as_xyz
'x,y,z'
loop_
_atom_site_label
_atom_site_type_symbol
_atom_site_fract_x
_atom_site_fract_y
_atom_site_fract_z
Ti1 Ti 0.000 0.000 0.000
Ti2 Ti 0.000 0.500 0.500
Ti3 Ti 0.500 0.000 0.500
Ti4 Ti 0.500 0.500 0.000
Re1 Re 0.000 0.000 0.500
Re2 Re 0.000 0.500 0.000
Re3 Re 0.500 0.000 0.000
Re4 Re 0.500 0.500 0.500
C1 C 0.250 0.250 0.250
C2 C 0.250 0.250 0.750
C3 C 0.250 0.750 0.250
C4 C 0.250 0.750 0.750
C5 C 0.750 0.250 0.250
C6 C 0.750 0.250 0.750
C7 C 0.750 0.750 0.250
C8 C 0.750 0.750 0.750


Entry 2:
# HgMoOs2, optimized geometry, DFT PBE
# - space group = No. 47
data_HgMoOs2
_chemical_formula_sum 'Hg1 Mo1 Os2'
_symmetry_space_group_name_H-M 'P 1'
_symmetry_Int_Tables_number 1
_cell_length_a 2.820
_cell_length_b 3.930
_cell_length_c 5.924
_cell_angle_alpha 90.00
_cell_angle_beta 90.00
_cell_angle_gamma 90.00
loop_
_symmetry_equiv_pos_as_xyz
'x,y,z'
loop_
_atom_site_label
_atom_site_type_symbol
_atom_site_fract_x
_atom_site_fract_y
_atom_site_fract_z
Hg1 Hg 0.000 0.000 0.000
Mo1 Mo 0.000 0.000 0.500
Os1 Os 0.500 0.500 0.285
Os2 Os 0.500 0.500 0.715


Entry 3:
# Th3TcBi2, optimized geometry, DFT PBE
# - space group = No. 12
# - excess energy over the best structure of this formula in the dataset (eV/atom) = 0.0000
data_Th3TcBi2
_chemical_formula_sum 'Th6 Tc2 Bi4'
_symmetry_space_group_name_H-M 'P 1'
_symmetry_Int_Tables_number 1
_cell_length_a 7.599
_cell_length_b 7.599
_cell_length_c 7.991
_cell_angle_alpha 99.35
_cell_angle_beta 99.35
_cell_angle_gamma 120.05
loop_
_symmetry_equiv_pos_as_xyz
'x,y,z'
loop_
_atom_site_label
_atom_site_type_symbol
_atom_site_fract_x
_atom_site_fract_y
_atom_site_fract_z
Th1 Th 0.059 0.430 0.783
Th2 Th 0.201 0.201 0.208
Th3 Th 0.430 0.059 0.783
Th4 Th 0.570 0.941 0.217
Th5 Th 0.799 0.799 0.792
Th6 Th 0.941 0.570 0.217
Tc1 Tc 0.168 0.832 0.000
Tc2 Tc 0.832 0.168 0.000
Bi1 Bi 0.000 0.000 0.500
Bi2 Bi 0.348 0.652 0.500
Bi3 Bi 0.500 0.500 0.000
Bi4 Bi 0.652 0.348 0.500


Entry 4:
# PmZnSnIr, optimized geometry, DFT PBE
# - space group = No. 216
data_PmZnSnIr
_chemical_formula_sum 'Pm4 Zn4 Sn4 Ir4'
_symmetry_space_group_name_H-M 'P 1'
_symmetry_Int_Tables_number 1
_cell_length_a 6.855
_cell_length_b 6.855
_cell_length_c 6.855
_cell_angle_alpha 90.00
_cell_angle_beta 90.00
_cell_angle_gamma 90.00
loop_
_symmetry_equiv_pos_as_xyz
'x,y,z'
loop_
_atom_site_label
_atom_site_type_symbol
_atom_site_fract_x
_atom_site_fract_y
_atom_site_fract_z
Pm1 Pm 0.000 0.000 0.000
Pm2 Pm 0.000 0.500 0.500
Pm3 Pm 0.500 0.000 0.500
Pm4 Pm 0.500 0.500 0.000
Zn1 Zn 0.250 0.250 0.750
Zn2 Zn 0.250 0.750 0.250
Zn3 Zn 0.750 0.250 0.250
Zn4 Zn 0.750 0.750 0.750
Sn1 Sn 0.000 0.000 0.500
Sn2 Sn 0.000 0.500 0.000
Sn3 Sn 0.500 0.000 0.000
Sn4 Sn 0.500 0.500 0.500
Ir1 Ir 0.250 0.250 0.250
Ir2 Ir 0.250 0.750 0.750
Ir3 Ir 0.750 0.250 0.750
Ir4 Ir 0.750 0.750 0.250


Entry 5:
# BeCrFe3, optimized geometry, DFT PBE
# - space group = No. 221
# - excess energy over the best structure of this formula in the dataset (eV/atom) = 0.6467
data_BeCrFe3
_chemical_formula_sum 'Be1 Cr1 Fe3'
_symmetry_space_group_name_H-M 'P 1'
_symmetry_Int_Tables_number 1
_cell_length_a 4.156
_cell_length_b 4.156
_cell_length_c 4.156
_cell_angle_alpha 90.00
_cell_angle_beta 90.00
_cell_angle_gamma 90.00
loop_
_symmetry_equiv_pos_as_xyz
'x,y,z'
loop_
_atom_site_label
_atom_site_type_symbol
_atom_site_fract_x
_atom_site_fract_y
_atom_site_fract_z
Be1 Be 0.000 0.000 0.000
Cr1 Cr 0.500 0.500 0.500
Fe1 Fe 0.000 0.500 0.500
Fe2 Fe 0.500 0.000 0.500
Fe3 Fe 0.500 0.500 0.000


Entry 6:
# La2MgV, optimized geometry, DFT PBE
# - space group = No. 122
data_La2MgV
_chemical_formula_sum 'La8 Mg4 V4'
_symmetry_space_group_name_H-M 'P 1'
_symmetry_Int_Tables_number 1
_cell_length_a 8.540
_cell_length_b 8.540
_cell_length_c 6.303
_cell_angle_alpha 90.00
_cell_angle_beta 90.00
_cell_angle_gamma 90.00
loop_
_symmetry_equiv_pos_as_xyz
'x,y,z'
loop_
_atom_site_label
_atom_site_type_symbol
_atom_site_fract_x
_atom_site_fract_y
_atom_site_fract_z
La1 La 0.210 0.250 0.125
La2 La 0.250 0.710 0.375
La3 La 0.250 0.790 0.875
La4 La 0.290 0.250 0.625
La5 La 0.710 0.750 0.625
La6 La 0.750 0.210 0.875
La7 La 0.750 0.290 0.375
La8 La 0.790 0.750 0.125
Mg1 Mg 0.000 0.000 0.500
Mg2 Mg 0.000 0.500 0.750
Mg3 Mg 0.500 0.000 0.250
Mg4 Mg 0.500 0.500 0.000
V1 V 0.000 0.000 0.000
V2 V 0.000 0.500 0.250
V3 V 0.500 0.000 0.750
V4 V 0.500 0.500 0.500


Entry 7:
# Li2CaSn3, optimized geometry, DFT PBE
# - space group = No. 63
# - excess energy over the best structure of this formula in the dataset (eV/atom) = 0.0483
data_Li2CaSn3
_chemical_formula_sum 'Li4 Ca2 Sn6'
_symmetry_space_group_name_H-M 'P 1'
_symmetry_Int_Tables_number 1
_cell_length_a 6.988
_cell_length_b 6.988
_cell_length_c 6.141
_cell_angle_alpha 90.00
_cell_angle_beta 90.00
_cell_angle_gamma 81.94
loop_
_symmetry_equiv_pos_as_xyz
'x,y,z'
loop_
_atom_site_label
_atom_site_type_symbol
_atom_site_fract_x
_atom_site_fract_y
_atom_site_fract_z
Li1 Li 0.231 0.231 0.000
Li2 Li 0.231 0.231 0.500
Li3 Li 0.769 0.769 0.000
Li4 Li 0.769 0.769 0.500
Ca1 Ca 0.332 0.668 0.750
Ca2 Ca 0.668 0.332 0.250
Sn1 Sn 0.031 0.969 0.250
Sn2 Sn 0.080 0.541 0.250
Sn3 Sn 0.459 0.920 0.250
Sn4 Sn 0.541 0.080 0.750
Sn5 Sn 0.920 0.459 0.750
Sn6 Sn 0.969 0.031 0.750


Entry 8:
# AgMoIr3, optimized geometry, DFT PBE
# - space group = No. 221
# - excess energy over the best structure of this formula in the dataset (eV/atom) = 1.0887
data_AgMoIr3
_chemical_formula_sum 'Ag1 Mo1 Ir3'
_symmetry_space_group_name_H-M 'P 1'
_symmetry_Int_Tables_number 1
_cell_length_a 4.681
_cell_length_b 4.681
_cell_length_c 4.681
_cell_angle_alpha 90.00
_cell_angle_beta 90.00
_cell_angle_gamma 90.00
loop_
_symmetry_equiv_pos_as_xyz
'x,y,z'
loop_
_atom_site_label
_atom_site_type_symbol
_atom_site_fract_x
_atom_site_fract_y
_atom_site_fract_z
Ag1 Ag 0.000 0.000 0.000
Mo1 Mo 0.500 0.500 0.500
Ir1 Ir 0.000 0.000 0.500
Ir2 Ir 0.000 0.500 0.000
Ir3 Ir 0.500 0.000 0.000


| no. | formation enthalpy at 0 K (eV per formula unit) |
| --- | --- |
| 1 | 1.72 |
| 2 | 2.19 |
| 3 | -2.31 |
| 4 | -1.51 |
| 5 | 6.66 |
| 6 | 1.99 |
| 7 | -2.11 |
| 8 | 13.21 |